[1]
A geometry-optimized In4Hg6Bi structure, computed with PBE-GGA.

Computed properties:
Size of the total moment: 0.00 μB/cell

a = 10.023 Å, b = 10.023 Å, c = 6.578 Å
α = 90.00°, β = 90.00°, γ = 90.00°
Space group P4_2/nmc (No. 137, origin choice 2)
Asymmetric unit:
In 0.039 0.750 0.122
Hg 0.030 0.530 0.750
Hg 0.250 0.250 0.100
Bi 0.250 0.750 0.750

[2]
A geometry-optimized In6Hg2Bi structure, computed with PBE-GGA.

Computed properties:
Energy above the most stable polymorph in this dataset: 0 meV per atom
Size of the total moment: 0.00 μB/cell

a = 4.272 Å, b = 13.921 Å, c = 8.645 Å
α = 90.00°, β = 90.00°, γ = 90.00°
Space group Amm2 (No. 38)
Asymmetric unit:
In 0.000 0.000 0.000
In 0.000 0.117 0.515
In 0.500 0.000 0.281
In 0.500 0.208 0.899
Hg 0.000 0.190 0.178
Bi 0.500 0.000 0.730

[3]
A geometry-optimized In5HgBi4 structure, computed with PBE-GGA.

Computed properties:
Size of the total moment: 0.00 μB/cell

a = 3.433 Å, b = 3.433 Å, c = 25.022 Å
α = 90.00°, β = 90.00°, γ = 90.00°
Space group P4/mmm (No. 123)
Asymmetric unit:
In 0.000 0.000 0.000
In 0.000 0.000 0.204
In 0.000 0.000 0.407
Hg 0.500 0.500 0.500
Bi 0.500 0.500 0.102
Bi 0.500 0.500 0.305

[4]
A geometry-optimized In3Hg12Bi structure, computed with PBE-GGA.

Computed properties:
Size of the total moment: 0.00 μB/cell

a = 5.154 Å, b = 5.154 Å, c = 16.253 Å
α = 90.00°, β = 90.00°, γ = 90.00°
Space group P4/mmm (No. 123)
Asymmetric unit:
In 0.000 0.000 0.000
In 0.000 0.000 0.256
Hg 0.000 0.500 0.125
Hg 0.000 0.500 0.374
Hg 0.500 0.500 0.000
Hg 0.500 0.500 0.248
Hg 0.500 0.500 0.500
Bi 0.000 0.000 0.500

| no. | electronic total energy (eV/cell) | V (Å³ per atom) | E_form (eV/atom) |
| --- | --- | --- | --- |
| 1 | -32.08 | 30.04 | 0.0550 |
| 2 | -41.14 | 28.56 | 0.0382 |
| 3 | -29.32 | 29.49 | 0.0193 |
| 4 | -15.31 | 26.99 | 0.0255 |